Entry from the Alexandria database: a relaxed structure of Cr2RuPt (GGA-PBE).

Unit cell a=4.288 b=4.288 c=4.288 alpha=60.00 beta=60.00 gamma=60.00
Fractional positions:
Cr1 0.000 0.000 0.000
Cr2 0.250 0.250 0.250
Pt1 0.500 0.500 0.500
Ru1 0.750 0.750 0.750

Values from the calculation:
DOS at the Fermi energy ... 1.362 states/eV/atom
Symmetry ... F-43m, No. 216
E_form ... 235 meV per atom
Calculated density ... 11.92 g/cm3
Spin magnetization ... 1.37 μB/cell